A plane-wave DFT calculation with PBE-GGA was carried out for crystalline LaDyEr2Se4 at its relaxed geometry.

Calculated values
E_tot   -5.85 eV per atom
Total magnetization   0.000 μB/atom
Formation energy from raw total energies   -1.78 eV per atom

a b c (Å): 7.089 4.050 7.256
angles (deg): 90.00 108.64 90.00
Space group P2/m (No. 10)
Inequivalent atoms, fractional coordinates:
La: 0.000 0.000 0.000 [1 per cell]
Dy: 0.500 0.500 0.000 [1 per cell]
Er: 0.000 0.500 0.500 [1 per cell]
Er: 0.500 0.000 0.500 [1 per cell]
Se: 0.254 0.000 0.740 [2 per cell]
Se: 0.263 0.500 0.267 [2 per cell]